{"formula": "CsCoPt2", "functional": "SCAN", "state": "PBEsol geometry", "lattice_angstrom": [[4.726, 0.000, 0.000], [2.363, 4.093, 0.000], [2.363, 1.364, 3.859]], "species": ["Co", "Pt", "Pt", "Cs"], "frac_coords": [[0.000, 0.000, 0.000], [0.250, 0.250, 0.250], [0.750, 0.750, 0.750], [0.500, 0.500, 0.500]], "energy_ry_per_atom": -3.5072, "spacegroup": "Fm-3m", "ef_kcal_per_mol_atoms": 26.70}